An optimized crystal structure of BaEuBi, computed with GGA-PBE.

total energy	-0.220	Ha/atom

```
data_BaEuBi
_chemical_formula_sum 'Ba1 Eu1 Bi1'
_space_group_name_H-M_alt 'P 1'
_space_group_IT_number 1
_cell_length_a 5.517
_cell_length_b 5.517
_cell_length_c 5.004
_cell_angle_alpha 90.00
_cell_angle_beta 90.00
_cell_angle_gamma 120.00
loop_
_space_group_symop_operation_xyz
'x,y,z'
loop_
_atom_site_label
_atom_site_type_symbol
_atom_site_fract_x
_atom_site_fract_y
_atom_site_fract_z
_atom_site_occupancy
Ba1 Ba 0.000 0.000 0.000 1
Eu1 Eu 0.667 0.333 0.499 1
Bi1 Bi 0.333 0.667 0.502 1
```